{"formula": "NbCdMo", "functional": "PBE-GGA", "state": "relaxed", "m_tot_mub_per_cell": 0.6, "polymorph_energy_ev_per_fu": 0.00, "vol_a3_per_atom": 21.5, "delta_e_f_ev_per_atom": 1.057, "lattice": [[0.000, 3.182, 3.182], [3.182, 0.000, 3.182], [3.182, 3.182, 0.000]], "species": ["Nb", "Mo", "Cd"], "fractional_positions": [[0.750, 0.750, 0.750], [0.000, 0.000, 0.000], [0.250, 0.250, 0.250]]}

{"formula": "NbCd2Mo", "functional": "PBE-GGA", "state": "relaxed", "m_tot_mub_per_cell": 0.0, "vol_a3_per_atom": 18.5, "delta_e_f_ev_per_atom": 0.492, "lattice": [[0.000, 3.333, 3.333], [3.333, 0.000, 3.333], [3.333, 3.333, 0.000]], "species": ["Mo", "Cd", "Cd", "Nb"], "fractional_positions": [[0.250, 0.250, 0.250], [0.750, 0.750, 0.750], [0.000, 0.000, 0.000], [0.500, 0.500, 0.500]]}

{"formula": "NbCdMo2", "functional": "PBE-GGA", "state": "relaxed", "m_tot_mub_per_cell": 0.0, "vol_a3_per_atom": 17.3, "delta_e_f_ev_per_atom": 0.411, "lattice": [[2.004, -3.526, -2.195], [-0.287, -4.261, 1.738], [-2.594, -3.179, -2.105]], "species": ["Mo", "Nb", "Cd", "Mo"], "fractional_positions": [[0.000, 0.000, 0.000], [0.750, 0.750, 0.750], [0.500, 0.500, 0.500], [0.250, 0.250, 0.250]]}

{"formula": "CdNiSbMo", "functional": "PBE-GGA", "state": "relaxed", "m_tot_mub_per_cell": 0.0, "vol_a3_per_atom": 16.9, "energy_ev_per_atom": -5.006, "lattice": [[-1.721, -3.220, 2.758], [-4.044, 0.655, 2.037], [-3.646, -2.431, -1.317]], "species": ["Sb", "Mo", "Ni", "Cd"], "fractional_positions": [[0.000, 0.000, 0.000], [0.250, 0.250, 0.250], [0.750, 0.750, 0.750], [0.500, 0.500, 0.500]]}

{"formula": "CdSiNiMo", "functional": "PBE-GGA", "state": "relaxed", "m_tot_mub_per_cell": 0.3, "vol_a3_per_atom": 14.6, "energy_ev_per_atom": -5.428, "lattice": [[0.000, 3.083, 3.083], [3.083, 0.000, 3.083], [3.083, 3.083, 0.000]], "species": ["Mo", "Ni", "Cd", "Si"], "fractional_positions": [[0.250, 0.250, 0.250], [0.750, 0.750, 0.750], [0.500, 0.500, 0.500], [0.000, 0.000, 0.000]]}

{"formula": "CdNiSnMo", "functional": "PBE-GGA", "state": "relaxed", "m_tot_mub_per_cell": 0.9, "vol_a3_per_atom": 16.9, "energy_ev_per_atom": -4.969, "lattice": [[0.000, 3.234, 3.234], [3.234, 0.000, 3.234], [3.234, 3.234, 0.000]], "species": ["Sn", "Cd", "Ni", "Mo"], "fractional_positions": [[0.000, 0.000, 0.000], [0.500, 0.500, 0.500], [0.750, 0.750, 0.750], [0.250, 0.250, 0.250]]}

{"formula": "NpCdMo", "functional": "PBE-GGA", "state": "relaxed", "m_tot_mub_per_cell": 2.5, "polymorph_energy_ev_per_fu": 1.43, "vol_a3_per_atom": 23.6, "delta_e_f_ev_per_atom": 1.425, "lattice": [[-4.432, -0.920, 1.039], [-2.542, 3.128, 2.305], [-3.415, 2.274, -2.175]], "species": ["Cd", "Np", "Mo"], "fractional_positions": [[0.000, 0.000, 0.000], [0.750, 0.750, 0.750], [0.500, 0.500, 0.500]]}

{"formula": "NpCdMo", "functional": "PBE-GGA", "state": "relaxed", "m_tot_mub_per_cell": 2.8, "polymorph_energy_ev_per_fu": 0.00, "vol_a3_per_atom": 22.7, "delta_e_f_ev_per_atom": 0.950, "lattice": [[0.000, 3.242, 3.242], [3.242, 0.000, 3.242], [3.242, 3.242, 0.000]], "species": ["Cd", "Mo", "Np"], "fractional_positions": [[0.250, 0.250, 0.250], [0.000, 0.000, 0.000], [0.750, 0.750, 0.750]]}

{"formula": "PaCdMo", "functional": "PBE-GGA", "state": "relaxed", "m_tot_mub_per_cell": 0.0, "polymorph_energy_ev_per_fu": 1.71, "vol_a3_per_atom": 24.9, "delta_e_f_ev_per_atom": 1.237, "lattice": [[-2.429, -3.748, 1.551], [-3.386, 0.558, 3.252], [-4.541, -0.536, -1.200]], "species": ["Mo", "Pa", "Cd"], "fractional_positions": [[0.750, 0.750, 0.750], [0.000, 0.000, 0.000], [0.250, 0.250, 0.250]]}

{"formula": "PaCdMo", "functional": "PBE-GGA", "state": "relaxed", "m_tot_mub_per_cell": 0.1, "polymorph_energy_ev_per_fu": 0.00, "vol_a3_per_atom": 23.6, "delta_e_f_ev_per_atom": 0.668, "lattice": [[2.515, -3.780, 0.985], [0.617, -1.293, 4.419], [-2.088, -3.824, 1.614]], "species": ["Mo", "Cd", "Pa"], "fractional_positions": [[0.000, 0.000, 0.000], [0.250, 0.250, 0.250], [0.750, 0.750, 0.750]]}

{"formula": "Cd2MoPd", "functional": "PBE-GGA", "state": "relaxed", "m_tot_mub_per_cell": 1.8, "vol_a3_per_atom": 17.8, "delta_e_f_ev_per_atom": 0.320, "lattice": [[0.000, 3.288, 3.288], [3.288, 0.000, 3.288], [3.288, 3.288, 0.000]], "species": ["Pd", "Cd", "Cd", "Mo"], "fractional_positions": [[0.750, 0.750, 0.750], [0.250, 0.250, 0.250], [0.000, 0.000, 0.000], [0.500, 0.500, 0.500]]}

{"formula": "CdMo2Pd", "functional": "PBE-GGA", "state": "relaxed", "m_tot_mub_per_cell": 0.0, "vol_a3_per_atom": 16.7, "delta_e_f_ev_per_atom": 0.366, "lattice": [[-1.829, 0.331, 4.154], [-4.431, 0.926, 0.468], [-2.852, -3.217, 1.494]], "species": ["Pd", "Mo", "Cd", "Mo"], "fractional_positions": [[0.750, 0.750, 0.750], [0.000, 0.000, 0.000], [0.500, 0.500, 0.500], [0.250, 0.250, 0.250]]}